1.
An optimized crystal structure of TlIn2SnBr6, computed with PBE.

Cell lengths 7.844, 7.843, 8.432 Å; angles 90.00, 117.71, 120.01 degrees
Fractional coordinates of all 10 atoms:
Tl (0.997, 0.498, 0.481)
In (0.601, 0.800, 0.387)
In (0.619, 0.309, 0.914)
Sn (0.982, 0.990, 0.958)
Br (0.529, 0.930, 0.680)
Br (0.455, 0.046, 0.174)
Br (0.780, 0.733, 0.174)
Br (0.142, 0.408, 0.174)
Br (0.765, 0.598, 0.680)
Br (0.096, 0.165, 0.680)

Results
Energy (eV per atom): -2.906
Uncorrected formation energy (eV per formula unit): -7.17
Total magnetic moment (μB/f.u.): 0.00

---

2.
An optimized crystal structure of ScURe4, computed with PBE.

Cell lengths 5.353, 5.353, 5.353 Å; angles 60.00, 60.00, 60.00 degrees
Last column: magnetic moment on the atom in μB.
Fractional coordinates of all 6 atoms:
Sc (0.000, 0.000, 0.000)  0.03
Re (0.626, 0.626, 0.123)  0.08
Re (0.626, 0.123, 0.626)  0.08
Re (0.626, 0.626, 0.626)  0.08
Re (0.123, 0.626, 0.626)  0.08
U (0.250, 0.250, 0.250)  1.58

Results
Energy (eV per atom): -11.277
Total magnetic moment (μB/f.u.): 2.21

---

3.
An optimized crystal structure of AcZnGaRu, computed with PBE.

Cell lengths 4.337, 4.337, 6.033 Å; angles 68.93, 68.93, 60.00 degrees
Fractional coordinates of all 4 atoms:
Ac (0.809, 0.809, 0.573)
Zn (0.011, 0.011, 0.966)
Ga (0.606, 0.606, 0.183)
Ru (0.300, 0.300, 0.101)

Results
Energy (eV per atom): -4.712
Total magnetic moment (μB/f.u.): 0.00

---

4.
An optimized crystal structure of Pm6InSn12, computed with PBE.

Cell lengths 8.438, 8.438, 8.438 Å; angles 102.91, 102.91, 102.91 degrees
Fractional coordinates of all 19 atoms:
Pm (0.809, 0.911, 0.557)
Pm (0.443, 0.191, 0.089)
Pm (0.089, 0.443, 0.191)
Pm (0.191, 0.089, 0.443)
Pm (0.557, 0.809, 0.911)
Pm (0.911, 0.557, 0.809)
In (0.000, 0.000, 0.000)
Sn (0.795, 0.496, 0.408)
Sn (0.408, 0.795, 0.496)
Sn (0.496, 0.408, 0.795)
Sn (0.205, 0.504, 0.592)
Sn (0.592, 0.205, 0.504)
Sn (0.504, 0.592, 0.205)
Sn (0.877, 0.734, 0.184)
Sn (0.266, 0.816, 0.123)
Sn (0.816, 0.123, 0.266)
Sn (0.123, 0.266, 0.816)
Sn (0.734, 0.184, 0.877)
Sn (0.184, 0.877, 0.734)

Results
Energy (eV per atom): -4.634
Total magnetic moment (μB/f.u.): 0.00

---

5.
An optimized crystal structure of LaOsPt2, computed with PBE.

Cell lengths 4.226, 4.224, 4.162 Å; angles 90.00, 90.00, 90.00 degrees
Fractional coordinates of all 4 atoms:
La (0.500, 0.000, 0.500)
Os (0.000, 0.500, 0.500)
Pt (0.000, 0.000, 0.000)
Pt (0.500, 0.500, 0.000)

Results
Energy (eV per atom): -7.263
Total magnetic moment (μB/f.u.): 0.02
Relative energy among the computed polymorphs (eV/atom): 0.218

---

6.
An optimized crystal structure of Sr2BAsPd6, computed with PBE.

Cell lengths 5.982, 7.049, 5.980 Å; angles 64.87, 59.99, 90.00 degrees
Fractional coordinates of all 10 atoms:
Sr (0.722, 0.168, 0.556)
Sr (0.278, 0.832, 0.444)
B (0.500, 0.500, 0.000)
As (0.000, 0.000, 0.000)
Pd (0.266, 0.320, 0.469)
Pd (0.735, 0.681, 0.053)
Pd (0.212, 0.681, 0.053)
Pd (0.788, 0.319, 0.947)
Pd (0.265, 0.319, 0.947)
Pd (0.734, 0.680, 0.531)

Results
Energy (eV per atom): -5.200
Total magnetic moment (μB/f.u.): 0.00

---

7.
An optimized crystal structure of Sm2HoBr, computed with PBE.

Cell lengths 3.676, 3.676, 10.660 Å; angles 80.07, 80.07, 60.00 degrees
Fractional coordinates of all 4 atoms:
Br (0.000, 0.000, 0.000)
Ho (0.500, 0.500, 0.500)
Sm (0.743, 0.743, 0.772)
Sm (0.257, 0.257, 0.228)

Results
Energy (eV per atom): -4.459
Uncorrected formation energy (eV per formula unit): -2.15
Total magnetic moment (μB/f.u.): 0.00
Relative energy among the computed polymorphs (eV/atom): 0.000

---

8.
An optimized crystal structure of Ce2Ga12Ru, computed with PBE.

Cell lengths 6.068, 6.068, 15.710 Å; angles 90.00, 90.00, 90.00 degrees
Last column: magnetic moment on the atom in μB.
Fractional coordinates of all 30 atoms:
Ce (0.500, 0.000, 0.240)  0.49
Ce (0.000, 0.500, 0.240)  0.49
Ce (0.000, 0.500, 0.760)  0.49
Ce (0.500, 0.000, 0.760)  0.49
Ga (0.500, 0.500, 0.810)  0.00
Ga (0.000, 0.000, 0.810)  0.00
Ga (0.750, 0.750, 0.913)  0.00
Ga (0.250, 0.750, 0.913)  0.00
Ga (0.000, 0.000, 0.345)  0.00
Ga (0.250, 0.750, 0.087)  0.00
Ga (0.830, 0.330, 0.569)  0.00
Ga (0.500, 0.500, 0.345)  0.00
Ga (0.250, 0.250, 0.913)  0.00
Ga (0.750, 0.750, 0.087)  0.00
Ga (0.330, 0.170, 0.569)  0.00
Ga (0.670, 0.170, 0.431)  0.00
Ga (0.000, 0.000, 0.655)  0.00
Ga (0.170, 0.330, 0.431)  0.00
Ga (0.250, 0.250, 0.087)  0.00
Ga (0.830, 0.670, 0.431)  0.00
Ga (0.670, 0.830, 0.569)  0.00
Ga (0.000, 0.000, 0.190)  0.00
Ga (0.170, 0.670, 0.569)  0.00
Ga (0.500, 0.500, 0.655)  0.00
Ga (0.750, 0.250, 0.913)  0.00
Ga (0.500, 0.500, 0.190)  0.00
Ga (0.330, 0.830, 0.431)  0.00
Ga (0.750, 0.250, 0.087)  0.00
Ru (0.500, 0.000, 0.000)  -0.04
Ru (0.000, 0.500, 0.000)  -0.04

Results
Energy (eV per atom): -4.209
Total magnetic moment (μB/f.u.): 1.09

---

9.
An optimized crystal structure of CdNiBi2, computed with PBE.

Cell lengths 4.202, 4.202, 7.167 Å; angles 72.95, 72.95, 60.00 degrees
Fractional coordinates of all 4 atoms:
Cd (0.504, 0.504, 0.489)
Ni (0.661, 0.661, 0.016)
Bi (0.061, 0.061, 0.816)
Bi (0.273, 0.273, 0.180)

Results
Energy (eV per atom): -3.550
Total magnetic moment (μB/f.u.): 0.00

---

Q: Which of these has the highest energy?
A: TlIn2SnBr6

---

Q: Which of these has the lowest energy?
A: ScURe4